# 1
A geometry-optimized CuP2H12N2O8F2 structure. Source: the Alexandria database, functional PBEsol.

- Volume: 8.6 Å³/atom
- Space group: No. 12

a b c (Å): 5.220 7.201 7.194
angles (deg): 110.92 90.00 111.25
Fractional positions:
Cu 0.000 0.000 0.000
P 0.635 0.270 0.218
P 0.365 0.730 0.782
H 0.188 0.066 0.351
H 0.877 0.066 0.351
H 0.812 0.934 0.649
H 0.123 0.934 0.649
H 0.512 0.710 0.167
H 0.198 0.710 0.167
H 0.488 0.290 0.833
H 0.802 0.290 0.833
H 0.368 0.736 0.387
H 0.632 0.264 0.613
H 0.248 0.495 0.182
H 0.752 0.505 0.818
N 0.331 0.663 0.228
N 0.669 0.337 0.772
O 0.573 0.146 0.357
O 0.427 0.854 0.643
O 0.865 0.247 0.093
O 0.381 0.247 0.093
O 0.135 0.753 0.907
O 0.619 0.753 0.907
O 0.991 0.981 0.287
O 0.009 0.019 0.713
F 0.760 0.520 0.366
F 0.240 0.480 0.634

***

# 2
A geometry-optimized CaLaBe2 structure. Source: the Alexandria database, functional PBEsol.

- Relative energy among the computed polymorphs: 4.1 kJ per mole of atoms
- Volume: 21.8 Å³/atom
- ΔH_f (0 K): 335 meV/atom
- Space group: No. 123

a b c (Å): 3.519 3.519 7.036
angles (deg): 90.00 90.00 90.00
Fractional positions:
Be 0.000 0.000 0.749
Be 0.000 0.000 0.251
Ca 0.500 0.500 0.000
La 0.500 0.500 0.500

***

Number 1: D(E_F) 4.06 states/eV per cell, M_tot 1.0 μB per formula unit, VASP energy -152.522 eV per cell. Number 2: D(E_F) 3.26 states/eV per cell, M_tot 0.0 μB per formula unit, VASP energy -14.141 eV per cell.